No. 1
{
  "formula": "Ba12In5O2",
  "functional": "GGA-PBE",
  "state": "relaxed",
  "cell": [[-8.794, -0.482, -6.209], [0.281, -1.596, 9.077], [0.437, 11.670, -1.524]],
  "species": ["Ba", "Ba", "Ba", "Ba", "Ba", "Ba", "Ba", "Ba", "Ba", "Ba", "Ba", "Ba", "O", "O", "In", "In", "In", "In", "In"],
  "frac_coords": [[0.442, 0.302, 0.074], [0.469, 0.324, 0.585], [0.482, 0.965, 0.726], [0.558, 0.698, 0.926], [0.144, 0.676, 0.415], [0.856, 0.324, 0.585], [0.518, 0.035, 0.274], [0.140, 0.698, 0.926], [0.994, 0.987, 0.160], [0.006, 0.013, 0.840], [0.860, 0.302, 0.074], [0.531, 0.676, 0.415], [0.163, 0.000, 0.000], [0.837, 0.000, 0.000], [0.233, 0.466, 0.617], [0.727, 0.453, 0.868], [0.000, 0.000, 0.500], [0.273, 0.547, 0.132], [0.767, 0.534, 0.383]]
}

---

No. 2
{
  "formula": "Ba4In2O",
  "functional": "GGA-PBE",
  "state": "relaxed",
  "cell": [[-1.239, -0.766, -3.560], [5.236, -0.142, -1.792], [-2.049, -13.620, 3.646]],
  "species": ["O", "Ba", "Ba", "Ba", "Ba", "In", "In"],
  "frac_coords": [[0.000, 0.500, 0.000], [0.000, 0.296, 0.592], [0.500, 0.563, 0.126], [0.500, 0.437, 0.874], [0.000, 0.704, 0.408], [0.500, 0.159, 0.318], [0.500, 0.841, 0.682]]
}

---

No. 3
{
  "formula": "Ba2In2O5",
  "functional": "GGA-PBE",
  "state": "relaxed",
  "cell": [[4.373, 0.000, 0.000], [-2.186, 6.005, -0.549], [0.000, -1.490, 6.317]],
  "species": ["O", "O", "O", "O", "O", "In", "In", "Ba", "Ba"],
  "frac_coords": [[0.333, 0.667, 0.060], [0.153, 0.306, 0.563], [0.000, 0.000, 0.000], [0.667, 0.333, 0.940], [0.847, 0.694, 0.437], [0.854, 0.708, 0.123], [0.146, 0.292, 0.877], [0.389, 0.777, 0.676], [0.611, 0.223, 0.324]]
}

---

No. 4
{
  "formula": "BaInO",
  "functional": "GGA-PBE",
  "state": "relaxed",
  "cell": [[-0.593, 0.639, 3.925], [0.336, -3.946, 0.693], [10.444, 1.134, 1.393]],
  "species": ["In", "In", "O", "O", "Ba", "Ba"],
  "frac_coords": [[0.500, 0.500, 0.000], [0.000, 0.000, 0.000], [0.500, 0.000, 0.393], [0.000, 0.500, 0.607], [0.000, 0.500, 0.370], [0.500, 0.000, 0.630]]
}

---

No. 5
{
  "formula": "Ba3In2O6",
  "functional": "GGA-PBE",
  "state": "relaxed",
  "cell": [[11.392, 0.000, 0.000], [9.801, 5.805, 0.000], [-10.597, -2.902, 3.010]],
  "species": ["O", "O", "O", "O", "O", "O", "In", "In", "Ba", "Ba", "Ba"],
  "frac_coords": [[0.416, 0.916, 0.500], [0.584, 0.084, 0.500], [0.916, 0.416, 0.500], [0.199, 0.199, 0.000], [0.084, 0.584, 0.500], [0.801, 0.801, 0.000], [0.897, 0.897, 0.000], [0.103, 0.103, 0.000], [0.683, 0.683, 0.000], [0.317, 0.317, 0.000], [0.500, 0.500, 0.000]]
}

---

No. 6
{
  "formula": "BaIn3O",
  "functional": "GGA-PBE",
  "state": "relaxed",
  "cell": [[-3.978, -3.278, -0.220], [2.560, -2.876, -3.434], [2.059, -2.757, 3.844]],
  "species": ["O", "Ba", "In", "In", "In"],
  "frac_coords": [[0.000, 0.000, 0.000], [0.500, 0.500, 0.500], [0.500, 0.000, 0.000], [0.000, 0.000, 0.500], [0.000, 0.500, 0.000]]
}

---

No. 7
{
  "formula": "BaIn3O",
  "functional": "GGA-PBE",
  "state": "relaxed",
  "cell": [[6.548, 0.000, 0.000], [0.000, 6.548, 0.000], [0.000, 0.000, 6.548]],
  "species": ["Ba", "O", "In", "In", "In"],
  "frac_coords": [[0.000, 0.000, 0.000], [0.500, 0.500, 0.500], [0.000, 0.000, 0.500], [0.000, 0.500, 0.000], [0.500, 0.000, 0.000]]
}

---

No. 8
{
  "formula": "Ba2In2O5",
  "functional": "GGA-PBE",
  "state": "relaxed",
  "cell": [[-7.880, 5.333, 1.671], [0.842, -8.744, -4.022], [-0.831, -3.679, 7.823]],
  "species": ["O", "O", "O", "O", "O", "O", "O", "O", "O", "O", "O", "O", "O", "O", "O", "O", "O", "O", "O", "O", "In", "In", "In", "In", "In", "In", "In", "In", "Ba", "Ba", "Ba", "Ba", "Ba", "Ba", "Ba", "Ba"],
  "frac_coords": [[0.245, 0.755, 0.255], [0.505, 0.496, 0.754], [0.240, 0.260, 0.501], [0.964, 0.536, 0.000], [0.130, 0.870, 0.500], [0.780, 0.720, 0.000], [0.868, 0.132, 0.500], [0.630, 0.370, 0.500], [0.875, 0.125, 0.000], [0.740, 0.760, 0.499], [0.745, 0.255, 0.255], [0.368, 0.632, 0.500], [0.464, 0.036, 0.000], [0.280, 0.220, 0.000], [0.745, 0.255, 0.745], [0.005, 0.996, 0.246], [0.375, 0.625, 0.000], [0.245, 0.755, 0.745], [0.004, 0.995, 0.754], [0.504, 0.495, 0.246], [0.249, 0.751, 0.500], [0.503, 0.497, 0.500], [0.749, 0.251, 0.500], [0.003, 0.997, 0.500], [0.995, 0.005, 0.000], [0.495, 0.505, 0.000], [0.255, 0.745, 0.000], [0.755, 0.245, 0.000], [0.636, 0.864, 0.256], [0.870, 0.630, 0.746], [0.370, 0.130, 0.746], [0.136, 0.364, 0.256], [0.870, 0.630, 0.254], [0.136, 0.364, 0.744], [0.370, 0.130, 0.254], [0.636, 0.864, 0.744]]
}

---

| no. | ΔE_f (raw) (eV per formula unit) |
| --- | --- |
| 1 | -12.25 |
| 2 | -5.48 |
| 3 | -17.83 |
| 4 | -4.16 |
| 5 | -23.36 |
| 6 | -1.85 |
| 7 | 6.01 |
| 8 | -17.68 |